Compound: Sm3Pb5
Source: Alexandria via LeMat-Bulk
Functional: PBE
Structure: relaxed

```
8
Lattice="4.7199 -5.2431 0.0000 4.7199 5.2431 0.0000 0.0000 0.0000 4.7798" Properties=species:S:1:pos:R:3 pbc="T T T"
Sm 0.0000 0.0000 0.0000
Sm 4.7199 2.3052 2.3899
Sm 4.7199 -2.3052 2.3899
Pb 2.3599 2.6216 0.0000
Pb 2.1723 0.0000 2.3899
Pb 2.3599 -2.6216 0.0000
Pb 4.7199 0.0000 0.0000
Pb 7.2674 0.0000 2.3899
```

Calculated values
VASP energy = -36.14 eV for the cell shown
Energy relative to the elements = -3.44 eV/f.u.